Entry from Alexandria via LeMat-Bulk: an optimized crystal structure of K2ZnReBr (PBE).

Cell lengths 6.500, 6.500, 4.904 Å; angles 90.00, 90.00, 90.00 degrees
Space group P4/mmm (No. 123)
Asymmetric unit:
K1 0.000 0.500 0.000 (multiplicity 2)
Zn1 0.000 0.000 0.500 (multiplicity 1)
Re1 0.000 0.000 0.000 (multiplicity 1)
Br1 0.500 0.500 0.500 (multiplicity 1)

Properties
E = -0.2112 Ry per atom
ΔE_f (raw) = 645 meV per atom
calculated density = 3283 kg/m3


Entry from Alexandria via LeMat-Bulk: an optimized crystal structure of KRh2Br (PBE).

Cell lengths 5.150, 5.150, 16.563 Å; angles 90.00, 90.00, 90.00 degrees
Space group I4_1/amd (No. 141, origin choice 2)
Asymmetric unit:
K1 0.000 0.250 0.375 (multiplicity 4)
Rh1 0.000 0.000 0.000 (multiplicity 8)
Br1 0.000 0.250 0.875 (multiplicity 4)

Properties
E = -0.3003 Ry per atom
ΔE_f (raw) = 282 meV per atom
calculated density = 4911 kg/m3
energy relative to the lowest polymorph listed for this composition = 0.740 eV/f.u.


Entry from Alexandria via LeMat-Bulk: an optimized crystal structure of KRhBr4 (PBE).

Cell lengths 16.153, 6.204, 7.011 Å; angles 90.00, 104.75, 90.00 degrees
Space group C2/c (No. 15)
Asymmetric unit:
K1 0.000 0.160 0.250 (multiplicity 4)
Rh1 0.250 0.250 0.000 (multiplicity 4)
Br1 0.097 0.369 0.933 (multiplicity 8)
Br2 0.199 0.073 0.662 (multiplicity 8)

Properties
E = -0.2416 Ry per atom
ΔE_f (raw) = -764 meV per atom
calculated density = 4513 kg/m3
energy relative to the lowest polymorph listed for this composition = 0.369 eV/f.u.


Entry from Alexandria via LeMat-Bulk: an optimized crystal structure of K3RhBr6 (PBE).

Cell lengths 7.651, 8.005, 13.289 Å; angles 90.00, 124.21, 90.00 degrees
Space group P2_1/c (No. 14)
Asymmetric unit:
K1 0.000 0.000 0.000 (multiplicity 2)
K2 0.281 0.081 0.755 (multiplicity 4)
Rh1 0.500 0.000 0.500 (multiplicity 2)
Br1 0.177 0.028 0.285 (multiplicity 4)
Br2 0.285 0.666 0.055 (multiplicity 4)
Br3 0.401 0.232 0.057 (multiplicity 4)

Properties
E = -0.2390 Ry per atom
ΔE_f (raw) = -1184 meV per atom
calculated density = 3452 kg/m3


Entry from Alexandria via LeMat-Bulk: an optimized crystal structure of KRh2Br (PBE).

Cell lengths 3.352, 3.352, 7.967 Å; angles 90.00, 90.00, 90.00 degrees
Space group P4mm (No. 99)
Asymmetric unit:
K1 0.000 0.000 0.000 (multiplicity 1)
Rh1 0.000 0.000 0.460 (multiplicity 1)
Rh2 0.500 0.500 0.334 (multiplicity 1)
Br1 0.500 0.500 0.732 (multiplicity 1)

Properties
E = -0.3098 Ry per atom
ΔE_f (raw) = 154 meV per atom
calculated density = 6025 kg/m3
energy relative to the lowest polymorph listed for this composition = 0.225 eV/f.u.


Entry from Alexandria via LeMat-Bulk: an optimized crystal structure of KRh2Br (PBE).

Cell lengths 3.040, 4.882, 5.553 Å; angles 90.00, 90.00, 90.00 degrees
Space group Pmmm (No. 47)
Asymmetric unit:
K1 0.000 0.000 0.000 (multiplicity 1)
Rh1 0.000 0.500 0.500 (multiplicity 1)
Rh2 0.500 0.000 0.500 (multiplicity 1)
Br1 0.500 0.500 0.000 (multiplicity 1)

Properties
E = -0.2814 Ry per atom
ΔE_f (raw) = 539 meV per atom
calculated density = 6544 kg/m3
energy relative to the lowest polymorph listed for this composition = 1.767 eV/f.u.


Q: Which formula does entry 5 have?
A: KRh2Br


Copy entry 4 word for word.
Entry from Alexandria via LeMat-Bulk: an optimized crystal structure of K3RhBr6 (PBE).

Cell lengths 7.651, 8.005, 13.289 Å; angles 90.00, 124.21, 90.00 degrees
Space group P2_1/c (No. 14)
Asymmetric unit:
K1 0.000 0.000 0.000 (multiplicity 2)
K2 0.281 0.081 0.755 (multiplicity 4)
Rh1 0.500 0.000 0.500 (multiplicity 2)
Br1 0.177 0.028 0.285 (multiplicity 4)
Br2 0.285 0.666 0.055 (multiplicity 4)
Br3 0.401 0.232 0.057 (multiplicity 4)

Properties
E = -0.2390 Ry per atom
ΔE_f (raw) = -1184 meV per atom
calculated density = 3452 kg/m3


Q: The highest ΔE_f (raw) belongs to which entry?
A: K2ZnReBr


Q: Which of these has the lowest E?
A: number 5